# CuRhSe PBE optimized geometry
data_CuRhSe
_chemical_formula_sum 'Cu3 Rh3 Se3'
_cell_length_a 3.7025
_cell_length_b 3.7025
_cell_length_c 12.5512
_cell_angle_alpha 90.00
_cell_angle_beta 90.00
_cell_angle_gamma 120.00
_symmetry_space_group_name_H-M 'P 1'
_symmetry_Int_Tables_number 1
loop_
_symmetry_equiv_pos_as_xyz
'x,y,z'
loop_
_atom_site_label
_atom_site_type_symbol
_atom_site_fract_x
_atom_site_fract_y
_atom_site_fract_z
Cu1 Cu 0.6667 0.3333 0.1468
Cu2 Cu 0.0000 0.0000 0.8134
Cu3 Cu 0.3333 0.6667 0.4801
Rh1 Rh 0.3333 0.6667 0.2667
Rh2 Rh 0.0000 0.0000 0.6000
Rh3 Rh 0.6667 0.3333 0.9334
Se1 Se 0.3333 0.6667 0.0300
Se2 Se 0.6667 0.3333 0.6967
Se3 Se 0.0000 0.0000 0.3633
# * space-group type: R3m, No. 160
# * M_tot: 0.0 μB/cell
# * mass density: 8.20 g/cm³
# * density of states at the Fermi level: 0.667 states/eV per atom
# * ΔE_f (raw): -6 meV per atom